P.
Material: Fe3HOs
Method: DFT, GGA-PBE
State: relaxed

The structure in POSCAR format:
```
Fe3HOs
1.0
-1.388 3.040 -1.370
-1.846 0.535 3.058
2.777 1.875 1.348
H Os Fe
1 1 3
Cartesian
0.000 0.000 0.000
-0.229 2.725 1.518
-0.923 0.267 1.529
1.388 0.938 0.674
-0.694 1.520 -0.685
```

Summary:
* M_tot: 0.00 μB/cell
* SG: Pm-3m (221)
* calculated volume: 47 Å³/cell

***

Q.
Material: Fe3HOs
Method: DFT, GGA-PBE
State: relaxed

The structure in POSCAR format:
```
Fe3HOs
1.0
-1.380 -1.855 -3.973
-3.911 -1.362 1.994
-1.982 3.979 -1.169
H Os Fe
1 1 3
Cartesian
-3.637 0.381 -1.574
0.000 0.000 0.000
-1.956 -0.681 0.997
-0.991 1.990 -0.585
-0.690 -0.927 -1.987
```

Summary:
* M_tot: 8.50 μB/cell
* SG: Pm-3m (221)
* calculated volume: 97 Å³/cell

***

It comes down to P, which is 1863 meV/atom more stable than the next structure.

***

P.
Material: Fe2ReHOs
Method: DFT, GGA-PBE
State: relaxed

The structure in POSCAR format:
```
Fe2ReHOs
1.0
-3.047 0.605 2.062
-0.914 -3.602 -0.294
1.960 -0.752 3.116
Re Os Fe H
1 1 2 1
Cartesian
-1.001 -1.875 2.442
0.980 -0.376 1.558
-0.457 -1.801 -0.147
-1.523 0.302 1.031
0.000 0.000 0.000
```

Summary:
* M_tot: 0.00 μB/cell
* SG: P4/mmm (123)
* calculated volume: 52 Å³/cell

***

Q.
Material: Fe2ReHOs
Method: DFT, GGA-PBE
State: relaxed

The structure in POSCAR format:
```
Fe2ReHOs
1.0
3.712 0.000 0.000
0.000 3.712 0.000
0.000 0.000 3.796
Re Os Fe H
1 1 2 1
Cartesian
0.000 0.000 1.898
1.856 1.856 1.898
0.000 1.856 0.000
1.856 0.000 0.000
0.000 0.000 0.000
```

Summary:
* M_tot: 0.00 μB/cell
* SG: P4/mmm (123)
* calculated volume: 52 Å³/cell

***

It comes down to P, which is 14 meV/atom more stable than the next structure.

***

P.
Material: Fe2HOsRu
Method: DFT, GGA-PBE
State: relaxed

The structure in POSCAR format:
```
Fe2HOsRu
1.0
-2.456 1.859 2.063
-2.615 -2.475 -0.884
0.943 -2.060 2.979
Ru Os Fe H
1 1 2 1
Cartesian
-2.064 -1.338 2.079
0.472 -1.030 1.490
-1.307 -1.237 -0.442
-1.228 0.929 1.031
0.000 0.000 0.000
```

Summary:
* M_tot: 0.00 μB/cell
* SG: P4/mmm (123)
* calculated volume: 51 Å³/cell

***

Q.
Material: Fe2HOsRu
Method: DFT, GGA-PBE
State: relaxed

The structure in POSCAR format:
```
Fe2HOsRu
1.0
3.709 0.000 0.000
0.000 3.709 0.000
0.000 0.000 3.722
Ru Os Fe H
1 1 2 1
Cartesian
0.000 0.000 1.861
1.855 1.855 1.861
0.000 1.855 0.000
1.855 0.000 0.000
0.000 0.000 0.000
```

Summary:
* M_tot: 0.00 μB/cell
* SG: P4/mmm (123)
* calculated volume: 51 Å³/cell

***

It comes down to Q, which is 35 meV/atom more stable than the next structure.

***

P.
Material: Ta2FeHOs
Method: DFT, GGA-PBE
State: relaxed

The structure in POSCAR format:
```
Ta2FeHOs
1.0
4.250 0.000 0.000
0.000 4.250 0.000
0.000 0.000 3.495
H Os Fe Ta
1 1 1 2
Cartesian
0.000 0.000 0.000
2.125 2.125 1.747
0.000 0.000 1.747
0.000 2.125 0.000
2.125 0.000 0.000
```

Summary:
* M_tot: 0.41 μB/cell
* SG: P4/mmm (123)
* calculated volume: 63 Å³/cell

***

Q.
Material: Ta2FeHOs
Method: DFT, GGA-PBE
State: relaxed

The structure in POSCAR format:
```
Ta2FeHOs
1.0
-4.029 0.617 -1.080
0.182 -3.330 -2.579
-1.065 -2.174 2.732
H Os Fe Ta
1 1 1 2
Cartesian
0.000 0.000 0.000
-0.533 -1.087 1.366
-2.456 -2.444 -0.464
0.091 -1.665 -1.290
-2.014 0.308 -0.540
```

Summary:
* M_tot: 1.58 μB/cell
* SG: P4/mmm (123)
* calculated volume: 65 Å³/cell

***

It comes down to P, which is 126 meV/atom more stable than the next structure.

***

P.
Material: TaFe2HOs
Method: DFT, GGA-PBE
State: relaxed

The structure in POSCAR format:
```
TaFe2HOs
1.0
-1.818 -2.885 -1.545
3.179 -1.134 -1.621
0.823 -2.212 3.161
H Os Fe Ta
1 1 2 1
Cartesian
0.000 0.000 0.000
1.092 -3.116 -0.003
1.589 -0.567 -0.811
-0.909 -1.443 -0.773
0.412 -1.106 1.581
```

Summary:
* M_tot: 1.48 μB/cell
* SG: P4/mmm (123)
* calculated volume: 55 Å³/cell

***

Q.
Material: TaFe2HOs
Method: DFT, GGA-PBE
State: relaxed

The structure in POSCAR format:
```
TaFe2HOs
1.0
-1.496 1.132 -3.295
-3.484 -0.524 1.402
-0.037 3.629 1.264
H Os Fe Ta
1 1 2 1
Cartesian
0.000 0.000 0.000
-0.018 1.814 0.632
-1.742 -0.262 0.701
-0.748 0.566 -1.647
-2.509 2.119 -0.314
```

Summary:
* M_tot: 1.48 μB/cell
* SG: P4/mmm (123)
* calculated volume: 55 Å³/cell

***

It comes down to Q, which is 17 meV/atom more stable than the next structure.

***

P.
Material: VFe2HOs
Method: DFT, GGA-PBE
State: relaxed

The structure in POSCAR format:
```
VFe2HOs
1.0
3.638 0.000 0.000
0.000 3.638 0.000
0.000 0.000 3.779
H Os Fe V
1 1 2 1
Cartesian
0.000 0.000 0.000
1.819 1.819 1.889
0.000 1.819 0.000
1.819 0.000 0.000
0.000 0.000 1.889
```

Summary:
* M_tot: 1.02 μB/cell
* SG: P4/mmm (123)
* calculated volume: 50 Å³/cell

***

Q.
Material: VFe2HOs
Method: DFT, GGA-PBE
State: relaxed

The structure in POSCAR format:
```
VFe2HOs
1.0
3.665 0.000 0.000
0.000 3.665 0.000
0.000 0.000 3.792
H Os Fe V
1 1 2 1
Cartesian
0.000 0.000 0.000
0.000 0.000 1.896
0.000 1.833 0.000
1.833 0.000 0.000
1.833 1.833 1.896
```

Summary:
* M_tot: 1.55 μB/cell
* SG: P4/mmm (123)
* calculated volume: 51 Å³/cell

***

It comes down to P, which is 50 meV/atom more stable than the next structure.

***

P.
Material: Fe2PH
Method: DFT, GGA-PBE
State: relaxed

The structure in POSCAR format:
```
Fe2PH
1.0
0.000 2.618 2.618
2.618 0.000 2.618
2.618 2.618 0.000
P Fe H
1 2 1
Cartesian
2.618 2.618 2.618
1.309 1.309 1.309
3.927 3.927 3.927
0.000 0.000 0.000
```

Summary:
* M_tot: 1.39 μB/cell
* SG: Fm-3m (225)
* calculated volume: 36 Å³/cell

***

Q.
Material: Fe2PH
Method: DFT, GGA-PBE
State: relaxed

The structure in POSCAR format:
```
Fe2PH
1.0
3.580 0.000 0.000
1.790 3.100 0.000
1.790 1.033 4.806
P Fe H
1 2 1
Cartesian
3.580 2.067 2.403
1.790 1.033 3.181
5.370 3.100 1.625
0.000 0.000 0.000
```

Summary:
* M_tot: 3.35 μB/cell
* SG: R-3m (166)
* calculated volume: 53 Å³/cell

***

R.
Material: Fe2PH
Method: DFT, GGA-PBE
State: relaxed

The structure in POSCAR format:
```
Fe2PH
1.0
4.406 0.000 0.000
0.000 4.406 0.000
2.203 2.203 4.330
P Fe H
2 4 2
Cartesian
0.000 0.000 0.000
4.406 2.203 2.165
2.817 1.102 1.082
1.589 3.305 1.082
3.305 3.792 3.247
5.508 5.020 3.247
2.203 2.203 0.000
2.203 4.406 2.165
```

Summary:
* M_tot: 5.79 μB/cell
* SG: I-42d (122)
* calculated volume: 84 Å³/cell

***

It comes down to P, which is 62 meV/atom more stable than the next structure.

***

P.
Material: FePH2
Method: DFT, GGA-PBE
State: relaxed

The structure in POSCAR format:
```
FePH2
1.0
-1.585 1.578 2.745
-2.932 1.917 -0.512
-3.122 -1.194 1.167
P Fe H
1 1 2
Cartesian
0.000 0.000 0.000
-3.820 1.150 1.700
-1.910 0.575 0.850
-5.730 1.725 2.550
```

Summary:
* M_tot: 2.10 μB/cell
* SG: Fm-3m (225)
* calculated volume: 31 Å³/cell

***

Q.
Material: FePH2
Method: DFT, GGA-PBE
State: relaxed

The structure in POSCAR format:
```
FePH2
1.0
-0.669 -0.655 -3.047
2.963 -1.101 -0.413
-0.831 -6.846 -0.013
P Fe H
2 2 4
Cartesian
1.147 -0.878 -1.730
1.639 -4.412 -1.078
0.000 0.000 0.000
-0.176 -4.189 -2.395
-0.420 -2.420 -2.709
1.056 -2.976 -2.940
-0.492 -5.522 -1.206
-0.850 -5.841 -2.726
```

Summary:
* M_tot: 0.00 μB/cell
* SG: I-42d (122)
* calculated volume: 66 Å³/cell

***

It comes down to Q, which is 310 meV/atom more stable than the next structure.

***

P.
Material: FeSiPHPt
Method: DFT, GGA-PBE
State: relaxed

The structure in POSCAR format:
```
FeSiPHPt
1.0
3.465 0.011 -0.002
0.228 4.346 0.001
0.100 2.151 4.048
Fe Si P H Pt
1 1 1 1 1
Cartesian
0.512 2.705 0.844
0.420 0.552 0.103
2.247 1.736 1.762
1.196 5.278 3.472
2.274 3.848 2.778
```

Summary:
* M_tot: 0.00 μB/cell
* SG: P1 (1)
* calculated volume: 61 Å³/cell

***

Q.
Material: FeSiPHPt
Method: DFT, GGA-PBE
State: relaxed

The structure in POSCAR format:
```
FeSiPHPt
1.0
3.528 0.000 0.000
1.580 3.928 0.000
0.783 0.635 4.380
Fe Si P H Pt
1 1 1 1 1
Cartesian
2.820 1.798 3.653
4.613 3.333 3.876
2.065 2.075 1.347
1.084 1.549 3.824
3.742 3.690 1.697
```

Summary:
* M_tot: 0.00 μB/cell
* SG: P1 (1)
* calculated volume: 61 Å³/cell

***

R.
Material: FeSiPHPt
Method: DFT, GGA-PBE
State: relaxed

The structure in POSCAR format:
```
FeSiPHPt
1.0
5.728 0.000 -0.006
0.000 2.825 0.000
-2.510 0.000 7.339
Fe Si P H Pt
2 2 2 2 2
Cartesian
-0.587 0.000 6.439
0.669 1.412 2.770
2.071 0.000 4.032
3.326 1.412 0.362
0.642 0.000 1.001
-0.613 1.412 4.670
0.888 0.000 5.645
2.143 1.412 1.975
2.454 0.000 6.450
3.709 1.412 2.780
```

Summary:
* M_tot: 0.01 μB/cell
* SG: Cm (8)
* calculated volume: 119 Å³/cell

***

It comes down to R, which is 26 meV/atom more stable than the next structure.

***

P.
Material: FeSiPHPt
Method: DFT, GGA-PBE
State: relaxed

The structure in POSCAR format:
```
FeSiPHPt
1.0
-2.095 -0.029 3.604
-1.408 -3.421 -0.846
6.070 -3.364 3.501
Fe Si P H Pt
2 2 2 2 2
Cartesian
3.725 -2.064 2.148
-0.014 -2.093 -0.025
1.835 -1.017 1.058
4.166 -4.409 2.386
1.861 -1.627 3.480
4.192 -5.019 4.807
4.976 -2.758 2.870
1.237 -2.786 0.697
-0.147 -0.514 2.321
2.184 -3.906 3.649
```

Summary:
* M_tot: 0.51 μB/cell
* SG: Amm2 (38)
* calculated volume: 123 Å³/cell

***

Q.
Material: FeSiPHPt
Method: DFT, GGA-PBE
State: relaxed

The structure in POSCAR format:
```
FeSiPHPt
1.0
3.126 0.000 -0.002
0.000 4.494 0.000
-1.546 0.000 4.182
Fe Si P H Pt
1 1 1 1 1
Cartesian
1.123 0.000 1.548
-0.434 0.000 3.433
1.123 2.247 0.719
2.693 0.000 0.790
-0.441 2.247 2.496
```

Summary:
* M_tot: 0.36 μB/cell
* SG: Pm (6)
* calculated volume: 59 Å³/cell

***

R.
Material: FeSiPHPt
Method: DFT, GGA-PBE
State: relaxed

The structure in POSCAR format:
```
FeSiPHPt
1.0
-1.308 -3.956 -1.407
2.756 -0.646 -0.745
1.316 0.038 4.837
Fe Si P H Pt
1 1 1 1 1
Cartesian
-0.042 -2.163 1.721
-0.760 -2.598 -0.560
1.456 -0.989 0.495
1.113 -3.356 1.281
2.105 -1.128 3.019
```

Summary:
* M_tot: 1.24 μB/cell
* SG: Pm (6)
* calculated volume: 59 Å³/cell

***

S.
Material: FeSiPHPt
Method: DFT, GGA-PBE
State: relaxed

The structure in POSCAR format:
```
FeSiPHPt
1.0
-1.799 -3.062 -1.658
1.587 -0.754 -3.621
1.894 -3.611 1.437
Fe Si P H Pt
1 1 1 1 1
Cartesian
-0.188 -3.733 -3.591
0.082 -2.600 -1.621
0.460 -5.365 -2.164
2.743 -4.233 -2.003
0.777 -4.180 0.103
```

Summary:
* M_tot: 0.00 μB/cell
* SG: P1 (1)
* calculated volume: 61 Å³/cell

***

It comes down to P, which is 79 meV/atom more stable than the next structure.

***

P.
Material: FeHPb3
Method: DFT, GGA-PBE
State: relaxed

The structure in POSCAR format:
```
FeHPb3
1.0
4.760 0.000 0.000
0.000 4.760 0.000
0.000 0.000 4.760
Pb H Fe
3 1 1
Cartesian
0.000 2.380 0.000
0.000 0.000 2.380
2.380 0.000 0.000
0.000 0.000 0.000
2.380 2.380 2.380
```

Summary:
* M_tot: 0.03 μB/cell
* SG: Pm-3m (221)
* calculated volume: 108 Å³/cell

***

Q.
Material: FeHPb3
Method: DFT, GGA-PBE
State: relaxed

The structure in POSCAR format:
```
FeHPb3
1.0
-0.073 1.980 -4.669
-4.384 -2.373 -0.938
-2.551 4.022 1.746
Pb H Fe
3 1 1
Cartesian
-2.192 -1.187 -0.469
-1.275 2.011 0.873
-0.037 0.990 -2.334
-3.504 1.814 -1.931
0.000 0.000 0.000
```

Summary:
* M_tot: 1.00 μB/cell
* SG: Pm-3m (221)
* calculated volume: 130 Å³/cell

***

It comes down to Q, which is 282 meV/atom more stable than the next structure.

***

P.
Material: FeHPb2
Method: DFT, GGA-PBE
State: relaxed

The structure in POSCAR format:
```
FeHPb2
1.0
5.230 0.000 0.000
0.000 5.230 0.000
2.615 2.615 6.349
Pb H Fe
4 2 2
Cartesian
3.720 1.308 1.587
1.511 3.923 1.587
3.923 4.126 4.762
6.538 6.335 4.762
2.615 2.615 0.000
2.615 5.230 3.175
0.000 0.000 0.000
5.230 2.615 3.175
```

Summary:
* M_tot: 0.00 μB/cell
* SG: I-42d (122)
* calculated volume: 174 Å³/cell

***

Q.
Material: FeHPb2
Method: DFT, GGA-PBE
State: relaxed

The structure in POSCAR format:
```
FeHPb2
1.0
0.000 3.380 3.380
3.380 0.000 3.380
3.380 3.380 0.000
Pb H Fe
2 1 1
Cartesian
1.690 1.690 1.690
5.070 5.070 5.070
0.000 0.000 0.000
3.380 3.380 3.380
```

Summary:
* M_tot: 2.76 μB/cell
* SG: Fm-3m (225)
* calculated volume: 77 Å³/cell

***

It comes down to Q, which is 212 meV/atom more stable than the next structure.